No. 1
First-principles (PBE-GGA) data for Cs4BiPAu2 after structural relaxation, as listed in the Open Quantum Materials Database.

Computed properties:
The value obtained for the total energy is -2.874 eV per atom.

POSCAR file:
```
Cs4BiPAu2
1.0
-3.500 -3.353 5.434
4.405 -5.389 -0.488
2.355 4.803 4.480
Au Cs Bi P
2 4 1 1
Cartesian
2.279 -1.212 3.427
0.721 -2.704 5.846
1.282 -5.211 2.489
0.859 1.570 1.522
1.533 -1.777 -0.109
-0.058 1.449 5.735
4.918 -0.426 2.905
-0.005 -1.828 3.748
```

No. 2
First-principles (PBE-GGA) data for Cs3RbBi2Au2 after structural relaxation, as listed in the Open Quantum Materials Database.

Computed properties:
The value obtained for the total energy is -2.706 eV per atom.

POSCAR file:
```
Cs3RbBi2Au2
1.0
7.048 0.000 0.000
0.000 7.231 0.000
-2.397 0.000 6.797
Cs Bi Au Rb
3 2 2 1
Cartesian
4.690 3.616 3.433
3.158 0.000 1.070
1.486 3.616 5.710
1.165 3.616 1.773
3.537 0.000 5.007
7.020 5.426 0.031
7.020 1.805 0.031
-0.026 0.000 3.335
```

No. 3
First-principles (PBE-GGA) data for CsRb2Bi2Au3 after structural relaxation, as listed in the Open Quantum Materials Database.

Computed properties:
The value obtained for the total energy is -2.977 eV per atom.

POSCAR file:
```
CsRb2Bi2Au3
1.0
3.326 1.920 7.501
-3.326 1.920 7.501
0.000 -3.840 7.501
Bi Au Rb Cs
2 3 2 1
Cartesian
0.000 0.000 17.021
0.000 0.000 5.483
-1.663 -0.960 7.501
0.000 1.920 7.501
1.663 -0.960 7.501
0.000 0.000 20.724
0.000 0.000 1.780
0.000 0.000 11.252
```

No. 4
First-principles (PBE-GGA) data for CuBiAu2 after structural relaxation, as listed in the Open Quantum Materials Database.

Computed properties:
The value obtained for the total energy is -3.417 eV per atom.

POSCAR file:
```
CuBiAu2
1.0
2.931 -2.795 -2.614
-0.511 -4.792 0.107
-1.702 -2.330 -3.862
Cu Bi Au
1 1 2
Cartesian
0.180 -2.479 -1.592
0.359 -4.959 -3.184
0.000 0.000 0.000
0.539 -7.438 -4.776
```

No. 5
First-principles (PBE-GGA) data for FeCuBiAu after structural relaxation, as listed in the Open Quantum Materials Database.

Computed properties:
The excess energy over the best structure of this formula in the dataset comes out at 0 meV/atom.

POSCAR file:
```
FeCuBiAu
1.0
4.178 -0.825 1.798
2.036 3.177 2.670
0.457 -0.745 4.540
Bi Au Cu Fe
1 1 1 1
Cartesian
0.000 0.000 0.000
3.336 0.804 4.504
5.004 1.205 6.756
1.668 0.402 2.252
```

No. 6
First-principles (PBE-GGA) data for Gd2CuBi4Au after structural relaxation, as listed in the Open Quantum Materials Database.

Computed properties:
The value obtained for the total energy is -4.542 eV per atom.

POSCAR file:
```
Gd2CuBi4Au
1.0
4.587 0.000 0.000
0.000 4.587 0.000
0.000 0.000 9.855
Gd Au Bi Cu
2 1 4 1
Cartesian
0.000 2.293 2.315
2.293 0.000 7.540
2.293 2.293 0.000
2.293 0.000 1.805
2.293 2.293 4.928
0.000 0.000 4.928
0.000 2.293 8.050
0.000 0.000 0.000
```

No. 7
First-principles (PBE-GGA) data for HfCuBiAu after structural relaxation, as listed in the Open Quantum Materials Database.

Computed properties:
The excess energy over the best structure of this formula in the dataset comes out at 11 meV/atom.

POSCAR file:
```
HfCuBiAu
1.0
4.411 -1.510 1.396
2.851 2.928 2.644
0.855 -1.015 4.683
Au Cu Bi Hf
1 1 1 1
Cartesian
2.029 0.101 2.181
6.088 0.302 6.542
0.000 0.000 0.000
4.059 0.201 4.362
```

No. 8
First-principles (PBE-GGA) data for HfCuBiAu after structural relaxation, as listed in the Open Quantum Materials Database.

Computed properties:
The excess energy over the best structure of this formula in the dataset comes out at 0 meV/atom.

POSCAR file:
```
HfCuBiAu
1.0
4.675 -1.199 -0.431
1.243 -4.556 -1.084
1.844 -1.036 -4.359
Au Cu Hf Bi
1 1 1 1
Cartesian
3.881 -3.396 -2.937
5.821 -5.094 -4.405
1.940 -1.698 -1.468
0.000 0.000 0.000
```

No. 9
First-principles (PBE-GGA) data for CuHgBiAu after structural relaxation, as listed in the Open Quantum Materials Database.

Computed properties:
The excess energy over the best structure of this formula in the dataset comes out at 0 meV/atom.

POSCAR file:
```
CuHgBiAu
1.0
-3.888 -2.948 0.715
-3.491 1.267 3.245
-4.462 1.374 -1.589
Bi Au Hg Cu
1 1 1 1
Cartesian
0.000 0.000 0.000
-8.880 -0.230 1.779
-5.920 -0.154 1.186
-2.960 -0.077 0.593
```

No. 10
First-principles (PBE-GGA) data for CuBiIrAu after structural relaxation, as listed in the Open Quantum Materials Database.

Computed properties:
The excess energy over the best structure of this formula in the dataset comes out at 0 meV/atom.

POSCAR file:
```
CuBiIrAu
1.0
-2.780 -2.988 2.259
-4.236 -0.977 -1.691
-0.872 -4.206 -1.820
Bi Cu Au Ir
1 1 1 1
Cartesian
0.000 0.000 0.000
-1.972 -2.043 -0.313
-3.944 -4.085 -0.626
-5.916 -6.128 -0.939
```

No. 11
First-principles (PBE-GGA) data for KCuBiAu after structural relaxation, as listed in the Open Quantum Materials Database.

Computed properties:
The excess energy over the best structure of this formula in the dataset comes out at 123 meV/atom.

POSCAR file:
```
KCuBiAu
1.0
0.000 3.589 3.589
3.589 0.000 3.589
3.589 3.589 0.000
K Au Bi Cu
1 1 1 1
Cartesian
1.795 1.795 1.795
5.384 5.384 5.384
3.589 3.589 3.589
0.000 0.000 0.000
```

No. 12
First-principles (PBE-GGA) data for KCuBiAu after structural relaxation, as listed in the Open Quantum Materials Database.

Computed properties:
The excess energy over the best structure of this formula in the dataset comes out at 0 meV/atom.

POSCAR file:
```
KCuBiAu
1.0
0.000 3.625 3.625
3.625 0.000 3.625
3.625 3.625 0.000
K Bi Au Cu
1 1 1 1
Cartesian
3.625 3.625 3.625
0.000 0.000 0.000
5.437 5.437 5.437
1.812 1.812 1.812
```

No. 13
First-principles (PBE-GGA) data for KCuBiAu after structural relaxation, as listed in the Open Quantum Materials Database.

Computed properties:
The excess energy over the best structure of this formula in the dataset comes out at 148 meV/atom.

POSCAR file:
```
KCuBiAu
1.0
0.000 3.600 3.600
3.600 0.000 3.600
3.600 3.600 0.000
Au K Cu Bi
1 1 1 1
Cartesian
5.400 5.400 5.400
3.600 3.600 3.600
0.000 0.000 0.000
1.800 1.800 1.800
```

No. 14
First-principles (PBE-GGA) data for LiCuBiAu after structural relaxation, as listed in the Open Quantum Materials Database.

Computed properties:
The excess energy over the best structure of this formula in the dataset comes out at 48 meV/atom.

POSCAR file:
```
LiCuBiAu
1.0
-4.721 -0.207 0.454
-2.699 3.549 -1.629
-2.726 -0.657 -3.830
Cu Au Li Bi
1 1 1 1
Cartesian
-7.610 2.014 -3.753
-2.537 0.671 -1.251
-5.073 1.342 -2.502
0.000 0.000 0.000
```

No. 15
First-principles (PBE-GGA) data for LuCuBiAu after structural relaxation, as listed in the Open Quantum Materials Database.

Computed properties:
The excess energy over the best structure of this formula in the dataset comes out at 0 meV/atom.

POSCAR file:
```
LuCuBiAu
1.0
0.378 3.441 3.537
-3.505 3.463 0.468
-3.069 -0.094 3.882
Cu Lu Bi Au
1 1 1 1
Cartesian
-4.647 5.107 5.916
-3.098 3.405 3.944
0.000 0.000 0.000
-1.549 1.702 1.972
```

No. 16
First-principles (PBE-GGA) data for LuCuBiAu after structural relaxation, as listed in the Open Quantum Materials Database.

Computed properties:
The excess energy over the best structure of this formula in the dataset comes out at 20 meV/atom.

POSCAR file:
```
LuCuBiAu
1.0
-2.959 -3.793 1.164
-4.909 0.626 0.084
-2.822 -2.097 -3.484
Au Lu Cu Bi
1 1 1 1
Cartesian
-5.345 -2.632 -1.118
-2.673 -1.316 -0.559
-8.018 -3.948 -1.676
0.000 0.000 0.000
```

No. 17
First-principles (PBE-GGA) data for Mg2CuBi2Au after structural relaxation, as listed in the Open Quantum Materials Database.

Computed properties:
The value obtained for the total energy is -3.257 eV per atom.

POSCAR file:
```
Mg2CuBi2Au
1.0
-5.691 0.837 5.633
1.852 -3.524 2.394
10.773 9.492 5.639
Cu Au Mg Bi
4 4 8 8
Cartesian
5.403 4.768 2.839
3.479 3.410 6.836
5.981 8.542 12.454
7.577 5.541 6.803
1.320 2.616 2.830
3.786 7.736 8.459
7.895 9.878 8.433
-0.624 1.286 6.883
-1.947 3.795 7.090
6.226 8.076 7.072
4.316 6.664 10.977
5.935 3.719 5.391
-2.312 -0.628 5.371
-0.432 0.760 1.453
1.854 1.603 5.432
2.153 5.944 7.084
3.015 4.508 4.304
5.176 5.171 8.116
9.260 7.298 8.087
5.422 9.631 9.982
6.940 6.569 4.302
2.512 -0.020 2.534
-1.179 2.255 4.231
1.110 3.168 8.311
```

No. 18
First-principles (PBE-GGA) data for NaCuBiAu after structural relaxation, as listed in the Open Quantum Materials Database.

Computed properties:
The excess energy over the best structure of this formula in the dataset comes out at 0 meV/atom.

POSCAR file:
```
NaCuBiAu
1.0
-2.483 -0.041 4.237
-4.427 2.110 0.273
-4.021 -2.781 0.463
Cu Na Bi Au
1 1 1 1
Cartesian
-2.733 -0.178 1.243
-5.466 -0.356 2.487
0.000 0.000 0.000
-8.198 -0.535 3.730
```

No. 19
First-principles (PBE-GGA) data for NaCuBiAu after structural relaxation, as listed in the Open Quantum Materials Database.

Computed properties:
The excess energy over the best structure of this formula in the dataset comes out at 41 meV/atom.

POSCAR file:
```
NaCuBiAu
1.0
1.972 1.909 3.980
-2.009 3.878 2.072
-2.251 -0.428 4.257
Cu Bi Na Au
1 1 1 1
Cartesian
0.000 0.000 0.000
-0.572 1.340 2.577
-1.144 2.679 5.155
-1.716 4.019 7.732
```

No. 20
First-principles (PBE-GGA) data for CuBiOsAu after structural relaxation, as listed in the Open Quantum Materials Database.

Computed properties:
The excess energy over the best structure of this formula in the dataset comes out at 0 meV/atom.

POSCAR file:
```
CuBiOsAu
1.0
0.000 3.288 3.288
3.288 0.000 3.288
3.288 3.288 0.000
Os Cu Bi Au
1 1 1 1
Cartesian
1.644 1.644 1.644
4.932 4.932 4.932
0.000 0.000 0.000
3.288 3.288 3.288
```